Density functional theory data (SCAN) for Ni2IrRh at its PBEsol-relaxed geometry.

The calculation puts the formation energy at 18 kJ/mol of formula units. Its density of states at the Fermi level is 0.98 states/eV per atom.

The structure belongs to space group I4/mmm (No. 139); the cell edges are 3.713, 3.713 and 7.037 Å and the angles 90.00°, 90.00° and 90.00°. The inequivalent atoms are Ni at (0.000, 0.500, 0.250), Ir at (0.000, 0.000, 0.000) and Rh at (0.000, 0.000, 0.500).